Entry 1:
! ErNiSbPd (PBE, relaxed); values from VASP
&SYSTEM
  ibrav = 0, nat = 4, ntyp = 4
/
ATOMIC_SPECIES
Ni 58.69 Ni.upf
Er 167.26 Er.upf
Pd 106.42 Pd.upf
Sb 121.76 Sb.upf
ATOMIC_POSITIONS angstrom
Ni 4.685 2.705 1.913
Er 7.028 4.058 2.869
Pd 0.000 0.000 0.000
Sb 2.343 1.353 0.956
CELL_PARAMETERS angstrom
4.685 0.000 0.000
2.343 4.058 0.000
2.343 1.353 3.826
! * calculated density: 10.37 g/cm³
! * formation energy without anion corrections: -0.65 eV/atom

Entry 2:
! Li2AlCl5 (PBE, relaxed); values from VASP
&SYSTEM
  ibrav = 0, nat = 16, ntyp = 3
/
ATOMIC_SPECIES
Li 6.94 Li.upf
Cl 35.45 Cl.upf
Al 26.98 Al.upf
ATOMIC_POSITIONS angstrom
Li 0.000 1.620 6.902
Li 2.482 4.512 0.978
Li 0.000 1.620 10.871
Li 2.482 4.512 4.946
Cl 0.000 0.905 4.555
Cl 0.000 4.122 1.290
Cl 0.000 0.905 1.369
Cl 2.482 2.815 2.962
Cl 2.482 5.227 7.293
Cl 0.000 4.122 4.634
Cl 2.482 2.010 7.215
Cl 2.482 2.010 10.558
Cl 2.482 5.227 10.479
Cl 0.000 3.317 8.886
Al 0.000 2.531 2.962
Al 2.482 3.601 8.886
CELL_PARAMETERS angstrom
4.965 0.000 0.000
-2.482 6.132 0.000
0.000 0.000 11.848
! * calculated density: 2.01 g/cm³
! * polymorph energy (0 for the lowest one): 0.062 eV/atom
! * formation energy without anion corrections: -1.60 eV/atom

Entry 3:
! Mn2TlTc (PBE, relaxed); values from VASP
&SYSTEM
  ibrav = 0, nat = 8, ntyp = 3
/
ATOMIC_SPECIES
Mn 54.94 Mn.upf
Tl 204.38 Tl.upf
Tc 98.00 Tc.upf
ATOMIC_POSITIONS angstrom
Mn 8.915 8.626 2.066
Mn 5.060 1.783 0.689
Mn 5.349 5.637 2.066
Mn 2.071 5.349 0.689
Tl 0.000 0.000 0.000
Tl 7.132 3.566 1.377
Tc 3.566 7.132 1.377
Tc 3.566 3.566 0.000
CELL_PARAMETERS angstrom
7.132 0.000 0.000
0.000 7.132 0.000
3.566 3.566 2.755
! * ΔH_f (0 K): 822 meV/atom
! * calculated density: 9.77 g/cm³

Entry 4:
! CdTcHgOs (PBE, relaxed); values from VASP
&SYSTEM
  ibrav = 0, nat = 4, ntyp = 4
/
ATOMIC_SPECIES
Tc 98.00 Tc.upf
Os 190.23 Os.upf
Cd 112.41 Cd.upf
Hg 200.59 Hg.upf
ATOMIC_POSITIONS angstrom
Tc 0.216 1.436 4.887
Os 1.262 0.000 2.006
Cd 2.675 0.000 4.570
Hg 3.828 1.436 2.256
CELL_PARAMETERS angstrom
5.015 0.000 -0.040
0.000 2.873 0.000
-1.590 0.000 4.936
! * ΔH_f (0 K): 712 meV/atom
! * calculated density: 14.07 g/cm³
! * polymorph energy (0 for the lowest one): 0.490 eV/atom

Entry 5:
! Ba2Na2Sb (PBE, relaxed); values from VASP
&SYSTEM
  ibrav = 0, nat = 10, ntyp = 3
/
ATOMIC_SPECIES
Na 22.99 Na.upf
Sb 121.76 Sb.upf
Ba 137.33 Ba.upf
ATOMIC_POSITIONS angstrom
Na 1.282 5.838 3.162
Na 7.829 3.273 3.162
Na 5.838 7.829 3.162
Na 3.273 1.282 3.162
Sb 0.000 0.000 0.000
Sb 4.556 4.556 0.000
Ba 1.533 3.022 0.000
Ba 6.089 1.533 0.000
Ba 7.578 6.089 0.000
Ba 3.022 7.578 0.000
CELL_PARAMETERS angstrom
9.111 0.000 0.000
0.000 9.111 0.000
0.000 0.000 6.324
! * calculated density: 2.80 g/cm³
! * polymorph energy (0 for the lowest one): 0.209 eV/atom
! * formation energy without anion corrections: -0.18 eV/atom

Entry 6:
! EuAl3 (PBE, relaxed); values from VASP
&SYSTEM
  ibrav = 0, nat = 4, ntyp = 2
/
ATOMIC_SPECIES
Al 26.98 Al.upf
Eu 151.96 Eu.upf
ATOMIC_POSITIONS angstrom
Al 0.000 0.000 5.997
Al 1.579 2.214 5.221
Al 1.579 0.000 3.650
Eu 0.000 2.214 1.991
CELL_PARAMETERS angstrom
3.158 0.000 0.000
0.000 4.427 0.000
0.000 0.000 6.322
! * ΔH_f (0 K): -59 meV/atom
! * calculated density: 4.38 g/cm³

Entry 7:
! ErMg2Zr (PBE, relaxed); values from VASP
&SYSTEM
  ibrav = 0, nat = 4, ntyp = 3
/
ATOMIC_SPECIES
Zr 91.22 Zr.upf
Er 167.26 Er.upf
Mg 24.30 Mg.upf
ATOMIC_POSITIONS angstrom
Zr 1.805 1.805 0.000
Er 1.805 1.805 3.694
Mg 0.000 0.000 1.719
Mg 0.000 0.000 5.669
CELL_PARAMETERS angstrom
3.609 0.000 0.000
0.000 3.609 0.000
0.000 0.000 7.388
! * ΔH_f (0 K): 27 meV/atom
! * calculated density: 5.30 g/cm³
! * polymorph energy (0 for the lowest one): 0.020 eV/atom

Entry 8:
! Tm7Co2Sn (PBE, relaxed); values from VASP
&SYSTEM
  ibrav = 0, nat = 10, ntyp = 3
/
ATOMIC_SPECIES
Co 58.93 Co.upf
Sn 118.71 Sn.upf
Tm 168.93 Tm.upf
ATOMIC_POSITIONS angstrom
Co 0.161 0.097 5.678
Co 2.271 -4.136 3.163
Sn 0.000 0.000 0.000
Tm 0.133 -3.046 1.520
Tm 1.216 -2.020 4.420
Tm 3.674 -3.753 5.681
Tm 1.717 1.640 4.615
Tm 3.912 -2.764 2.000
Tm 2.298 -0.993 7.320
Tm -1.242 -0.286 3.159
CELL_PARAMETERS angstrom
-3.197 -2.915 2.225
5.413 -5.776 0.211
0.216 4.652 6.404
! * ΔH_f (0 K): -114 meV/atom
! * calculated density: 8.38 g/cm³